Below is crystalline CrFe2TcTe at its relaxed geometry, with properties calculated at the PBE level.

As for the formation energy (no corrections): 1.939 eV/atom.

It has space group P4/mmm (No. 123), with a = 4.570 Å, b = 4.570 Å, c = 4.849 Å, α = 90.00°, β = 90.00° and γ = 90.00°. The asymmetric unit holds Cr at (0.000, 0.000, 0.000), Fe at (0.000, 0.500, 0.500), Tc at (0.500, 0.500, 0.000) and Te at (0.500, 0.500, 0.500).